# MnTlTe2 PBE relaxed
data_MnTlTe2
_chemical_formula_sum 'Mn4 Tl4 Te8'
_cell_length_a 7.205
_cell_length_b 7.205
_cell_length_c 7.205
_cell_angle_alpha 90.00
_cell_angle_beta 90.00
_cell_angle_gamma 90.00
_space_group_name_H-M_alt 'F m -3 m'
_space_group_IT_number 225
_space_group_name_Hall '-F 4 2 3'
loop_
_atom_site_label
_atom_site_type_symbol
_atom_site_fract_x
_atom_site_fract_y
_atom_site_fract_z
Mn1 Mn 0.000 0.000 0.000
Tl1 Tl 0.000 0.000 0.500
Te1 Te 0.250 0.250 0.250
# V   374.0 Å³ per cell
# Formation energy (no corrections)   0.70 eV/atom
# D(E_F)   12.96 states/eV/cell